# 1
Entry from Alexandria via LeMat-Bulk: a relaxed structure of CrCo2Ni (PBE).

abc: 6.1918 6.1918 4.9051
angles: 90.00 90.00 90.00
Space group I-42d (No. 122)
Asymmetric unit:
Cr 0.0000 0.0000 0.0000 (multiplicity 4)
Co 0.2206 0.7500 0.1250 (multiplicity 8)
Ni 0.0000 0.0000 0.5000 (multiplicity 4)

- Crystal system: tetragonal
- Formation energy: 499 meV/atom
- DFT total energy: -0.5075 Ry/atom
- Fermi-level density of states: 0.194 states/eV/atom



# 2
Entry from Alexandria via LeMat-Bulk: a relaxed structure of CrCo2Ni (PBE).

abc: 4.9918 7.0093 2.4856
angles: 90.00 90.00 90.00
Space group Cmmm (No. 65)
Asymmetric unit:
Cr 0.0000 0.0000 0.0000 (multiplicity 2)
Co 0.2500 0.2500 0.5000 (multiplicity 4)
Ni 0.0000 0.5000 0.0000 (multiplicity 2)

- Crystal system: orthorhombic
- Formation energy: 109 meV/atom
- DFT total energy: -0.5362 Ry/atom
- Fermi-level density of states: 1.619 states/eV/atom



# 3
Entry from Alexandria via LeMat-Bulk: a relaxed structure of CrCo2Ni (PBE).

abc: 2.9432 2.9432 5.1707
angles: 90.00 90.00 90.00
Space group P4mm (No. 99)
Asymmetric unit:
Cr 0.0000 0.0000 0.0000 (multiplicity 1)
Co 0.0000 0.0000 0.4996 (multiplicity 1)
Co 0.5000 0.5000 0.7375 (multiplicity 1)
Ni 0.5000 0.5000 0.2473 (multiplicity 1)

- Crystal system: tetragonal
- Formation energy: 179 meV/atom
- DFT total energy: -0.5310 Ry/atom
- Fermi-level density of states: 1.402 states/eV/atom



# 4
Entry from Alexandria via LeMat-Bulk: a relaxed structure of CrCoNi (PBE).

abc: 3.9403 3.9403 2.4426
angles: 90.00 90.00 120.00
Space group P3m1 (No. 156)
Asymmetric unit:
Cr 0.0000 0.0000 0.0000 (multiplicity 1)
Co 0.3333 0.6667 0.8445 (multiplicity 1)
Ni 0.6667 0.3333 0.4127 (multiplicity 1)

- Crystal system: trigonal
- Formation energy: 114 meV/atom
- E above lowest polymorph: 0.30 eV per formula unit
- DFT total energy: -0.5431 Ry/atom
- Fermi-level density of states: 1.340 states/eV/atom



Question: What is the formation energy in the first record?
Answer: 499 meV/atom